Entry 1:
## LiNpHg2O6 (GGA-PBE)

Data for an optimized crystal structure of LiNpHg2O6.

Geometry as extended XYZ:
```
20
Lattice="5.615 0.000 -0.073 0.000 5.729 0.000 -0.057 0.000 8.320" Properties=species:S:1:pos:R:3 pbc="T T T"
Hg -0.008 5.480 2.073
O 3.892 1.826 7.847
O 1.113 1.038 3.723
Np 2.779 0.000 4.124
O 2.212 5.376 6.148
Hg 2.787 2.615 2.050
O 1.666 3.902 0.401
Li -0.028 2.864 4.160
O 0.510 2.511 6.296
Np 0.000 2.864 0.000
O 1.832 4.039 3.608
O 0.947 1.175 0.516
O 3.346 0.353 2.099
Hg 5.566 0.249 6.174
O 5.048 3.217 1.952
O 4.445 4.691 4.524
Hg 2.772 3.113 6.197
O 3.726 1.689 4.640
Li 2.808 0.000 -0.036
O 4.611 4.554 7.731
```

Calculated values
uncorrected energy	-120.1	eV for the cell shown
space-group type	P2_1/c, No. 14
calculated density	9.2	g/cm³
total magnetic moment	0.0	μB/f.u.

=====

Entry 2:
## SnBi2CO (GGA-PBE)

Data for an optimized crystal structure of SnBi2CO.

Geometry as extended XYZ:
```
5
Lattice="-4.406 3.784 -0.496 -1.966 -2.598 -2.357 -2.539 -2.340 4.696" Properties=species:S:1:pos:R:3 pbc="T T T"
Bi -2.203 1.892 -0.248
Sn 0.000 0.000 0.000
C -0.983 -1.299 -1.179
Bi -1.270 -1.170 2.348
O -4.455 -0.577 0.921
```

Calculated values
DOS(E_F)	0.884	states/eV/atom
uncorrected energy	-17.8	eV for the cell shown
space-group type	P4/mmm, No. 123
calculated density	6.9	g/cm³
total magnetic moment	0.0	μB/f.u.

=====

Entry 3:
## TbH3Pt (GGA-PBE)

Data for an optimized crystal structure of TbH3Pt.

Geometry as extended XYZ:
```
5
Lattice="3.728 0.000 0.000 0.000 3.728 0.000 0.000 0.000 3.728" Properties=species:S:1:pos:R:3 pbc="T T T"
Pt 0.000 0.000 0.000
H 0.000 0.000 1.864
H 1.864 0.000 0.000
H 0.000 1.864 0.000
Tb 1.864 1.864 1.864
```

Calculated values
DOS(E_F)	0.502	states/eV/atom
uncorrected energy	-23.1	eV for the cell shown
space-group type	Pm-3m, No. 221
calculated density	11.4	g/cm³
total magnetic moment	0.0	μB/f.u.

=====

Entry 4:
## LuPaTlGa (GGA-PBE)

Data for an optimized crystal structure of LuPaTlGa.

Geometry as extended XYZ:
```
4
Lattice="5.183 0.000 0.000 2.592 4.489 0.000 2.592 1.496 4.232" Properties=species:S:1:pos:R:3 pbc="T T T"
Lu 0.000 0.000 0.000
Pa 5.183 2.993 2.116
Tl 2.592 1.496 1.058
Ga 7.775 4.489 3.174
```

Calculated values
DOS(E_F)	1.854	states/eV/atom
uncorrected energy	-19.6	eV for the cell shown
space-group type	F-43m, No. 216
calculated density	11.5	g/cm³
E_form	-59	meV per atom
total magnetic moment	1.0	μB/f.u.

=====

Entry 5:
## ZrRe2Rh (GGA-PBE)

Data for an optimized crystal structure of ZrRe2Rh.

Geometry as extended XYZ:
```
4
Lattice="-2.650 -0.471 -1.369 -0.414 -2.490 1.658 -3.369 3.988 5.148" Properties=species:S:1:pos:R:3 pbc="T T T"
Re -2.319 -0.548 1.348
Re -0.113 0.134 0.173
Rh -1.619 1.916 2.473
Zr -4.067 1.520 4.017
```

Calculated values
DOS(E_F)	0.848	states/eV/atom
uncorrected energy	-41.3	eV for the cell shown
space-group type	P4mm, No. 99
calculated density	14.1	g/cm³
E_form	-125	meV per atom
relative energy among the computed polymorphs	0.000	eV/atom
total magnetic moment	0.0	μB/f.u.

=====

Entry 6:
## Pr5Ru2Pb (GGA-PBE)

Data for an optimized crystal structure of Pr5Ru2Pb.

Geometry as extended XYZ:
```
16
Lattice="2.496 0.377 -7.608 -0.558 -7.976 -0.579 -7.769 4.434 1.894" Properties=species:S:1:pos:R:3 pbc="T T T"
Pb -2.430 -3.482 -5.193
Pr 0.000 0.000 0.000
Pr -1.750 -5.037 -2.175
Pr -1.022 -0.981 -3.256
Pr -4.080 1.873 -4.118
Ru 1.786 -4.792 -6.903
Pr -0.602 -6.285 -6.084
Ru 1.523 -0.886 -4.962
Pb -3.400 0.317 -1.100
Pr 0.969 -3.799 -4.094
Pr -5.228 3.120 -0.209
Pr 0.126 -2.229 -7.164
Ru 0.153 -2.806 -1.284
Ru 0.416 -6.712 -3.225
Pr -4.808 -2.183 -3.037
Pr -5.956 -0.936 0.871
```

Calculated values
DOS(E_F)	0.985	states/eV/atom
uncorrected energy	-97.2	eV for the cell shown
space-group type	I4/mcm, No. 140
calculated density	8.0	g/cm³
E_form	-308	meV per atom
total magnetic moment	0.0	μB/f.u.

=====

Entry 7:
## Mn2PtBr (GGA-PBE)

Data for an optimized crystal structure of Mn2PtBr.

Geometry as extended XYZ:
```
4
Lattice="5.652 0.816 0.000 2.502 5.133 0.000 -4.077 -2.975 2.672" Properties=species:S:1:pos:R:3 pbc="T T T"
Pt 4.077 2.975 0.000
Br 2.826 0.408 1.336
Mn 0.000 0.000 0.000
Mn 1.251 2.567 1.336
```

Calculated values
DOS(E_F)	0.472	states/eV/atom
uncorrected energy	-24.7	eV for the cell shown
space-group type	I-4m2, No. 119
calculated density	8.9	g/cm³
relative energy among the computed polymorphs	0.437	eV/atom
total magnetic moment	9.1	μB/f.u.

=====

Entry 8:
## Rb2HoPa2Te6 (GGA-PBE)

Data for an optimized crystal structure of Rb2HoPa2Te6.

Geometry as extended XYZ:
```
11
Lattice="7.625 -0.026 0.068 -3.791 6.616 0.068 -1.359 -2.337 8.857" Properties=species:S:1:pos:R:3 pbc="T T T"
Te -1.938 1.001 6.239
Te 0.647 5.444 2.754
Pa -0.671 3.237 4.496
Te 1.858 3.194 6.300
Rb -1.891 5.510 0.068
Ho -0.680 -1.168 4.428
Rb 5.725 1.080 0.068
Te 1.828 -1.190 6.239
Pa 3.146 1.017 4.496
Te 4.413 3.253 2.754
Te 0.617 1.060 2.693
```

Calculated values
DOS(E_F)	1.298	states/eV/atom
uncorrected energy	-56.0	eV for the cell shown
space-group type	C2/m, No. 12
calculated density	5.8	g/cm³
total magnetic moment	3.0	μB/f.u.

=====

- What is the calculated density in the seventh record?
  8.9 g/cm³

=====

- Among the records above, which one has the highest uncorrected energy?
  SnBi2CO